# 1
The following is a GGA-PBE calculation of crystalline Ti4PC at its relaxed geometry, from Alexandria.

Cell: 5.4689 5.6001 5.6743 Å, 90.00 95.37 90.00°
Space group P2_1/c (No. 14)
Symmetry-distinct sites (fractional):
Ti (0.1174, 0.1628, 0.1786)
Ti (0.3404, 0.6341, 0.1151)
P (0.5000, 0.0000, 0.0000)
C (0.0000, 0.0000, 0.5000)

Calculated values
**Mass density**: 4.50 g/cm³
**Formation enthalpy at 0 K**: -0.610 eV per atom
**Electronic total energy**: -0.3055 hartree per atom

***

# 2
The following is a GGA-PBE calculation of crystalline TbDy5Y7 at its relaxed geometry, from Alexandria.

Cell: 6.6759 11.1516 11.5915 Å, 90.00 90.00 90.00°
Space group Imm2 (No. 44)
Symmetry-distinct sites (fractional):
Tb (0.0000, 0.0000, 0.0000)
Dy (0.0000, 0.5000, 0.1864)
Dy (0.2316, 0.2277, 0.1911)
Y (0.0000, 0.0000, 0.3843)
Y (0.0000, 0.0000, 0.6947)
Y (0.0000, 0.3274, 0.9397)
Y (0.0000, 0.3313, 0.4396)
Y (0.0000, 0.5000, 0.6911)

Calculated values
**Mass density**: 6.13 g/cm³
**Formation enthalpy at 0 K**: 0.244 eV per atom
**Electronic total energy**: -0.1971 hartree per atom

***

# 3
The following is a GGA-PBE calculation of crystalline Nd8Ru3Br3N at its relaxed geometry, from Alexandria.

Cell: 13.9593 8.0591 9.1255 Å, 90.00 120.73 90.00°
Space group C2/m (No. 12)
Symmetry-distinct sites (fractional):
Nd (0.0178, 0.2345, 0.3194)
Nd (0.2165, 0.0000, 0.6804)
Nd (0.2351, 0.5000, 0.7045)
Ru (0.0000, 0.5000, 0.5000)
Ru (0.2500, 0.2500, 0.5000)
Br (0.0000, 0.0000, 0.0000)
Br (0.2500, 0.2500, 0.0000)
N (0.0000, 0.0000, 0.5000)

Calculated values
**Mass density**: 6.44 g/cm³
**Electronic total energy**: -0.2211 hartree per atom

***

# 4
The following is a GGA-PBE calculation of crystalline SrLa5Tl6 at its relaxed geometry, from Alexandria.

Cell: 9.7874 17.0362 5.6548 Å, 90.00 125.24 90.00°
Space group C2/m (No. 12)
Symmetry-distinct sites (fractional):
Sr (0.0000, 0.0000, 0.0000)
La (0.0000, 0.1610, 0.5000)
La (0.0000, 0.3299, 0.0000)
La (0.0000, 0.5000, 0.5000)
Tl (0.2427, 0.5000, 0.2429)
Tl (0.2462, 0.3324, 0.7459)

Calculated values
**Mass density**: 8.66 g/cm³
**Formation enthalpy at 0 K**: -0.414 eV per atom
**Electronic total energy**: -0.1393 hartree per atom

***

# 5
The following is a GGA-PBE calculation of crystalline Ta3V5P2 at its relaxed geometry, from Alexandria.

Cell: 10.0401 11.6924 5.1566 Å, 90.00 90.00 90.00°
Space group Ibam (No. 72)
Symmetry-distinct sites (fractional):
Ta (0.0000, 0.0000, 0.2500)
Ta (0.1414, 0.2278, 0.0000)
V (0.0000, 0.5000, 0.2500)
V (0.0949, 0.3460, 0.5000)
V (0.2425, 0.5000, 0.2500)
P (0.1357, 0.1503, 0.5000)

Calculated values
**Mass density**: 9.43 g/cm³
**Formation enthalpy at 0 K**: -0.051 eV per atom
**Electronic total energy**: -0.3399 hartree per atom

***

# 6
The following is a GGA-PBE calculation of crystalline TmPd12Pb3 at its relaxed geometry, from Alexandria.

Cell: 4.1061 4.1061 16.4230 Å, 90.00 90.00 90.00°
Space group P4/mmm (No. 123)
Symmetry-distinct sites (fractional):
Tm (0.0000, 0.0000, 0.0000)
Pd (0.0000, 0.5000, 0.1242)
Pd (0.0000, 0.5000, 0.3747)
Pd (0.5000, 0.5000, 0.0000)
Pd (0.5000, 0.5000, 0.2504)
Pd (0.5000, 0.5000, 0.5000)
Pb (0.0000, 0.0000, 0.2492)
Pb (0.0000, 0.0000, 0.5000)

Calculated values
**Mass density**: 12.40 g/cm³
**Formation enthalpy at 0 K**: -0.447 eV per atom
**Electronic total energy**: -0.1954 hartree per atom

***

# 7
The following is a GGA-PBE calculation of crystalline Mg2Tl2N at its relaxed geometry, from Alexandria.

Cell: 4.0347 4.0347 15.4439 Å, 90.00 90.00 90.00°
Space group I4/mmm (No. 139)
Symmetry-distinct sites (fractional):
Mg (0.0000, 0.0000, 0.0864)
Tl (0.0000, 0.5000, 0.2500)
N (0.0000, 0.0000, 0.5000)

Calculated values
**Mass density**: 6.23 g/cm³
**Electronic total energy**: -0.0802 hartree per atom
**Energy above the lowest structure with this stoichiometry**: 4.921 eV/f.u.

***

# 8
The following is a GGA-PBE calculation of crystalline CuSnW2S at its relaxed geometry, from Alexandria.

Cell: 4.5600 4.5600 4.2171 Å, 90.00 90.00 90.00°
Space group P4/mmm (No. 123)
Symmetry-distinct sites (fractional):
Cu (0.0000, 0.0000, 0.0000)
Sn (0.5000, 0.5000, 0.0000)
W (0.0000, 0.5000, 0.5000)
S (0.0000, 0.0000, 0.5000)

Calculated values
**Mass density**: 11.02 g/cm³
**Electronic total energy**: -0.2492 hartree per atom

***

# 9
The following is a GGA-PBE calculation of crystalline Sc4TcPt at its relaxed geometry, from Alexandria.

Cell: 7.2755 4.0128 16.6846 Å, 90.00 90.00 90.00°
Space group Pnma (No. 62)
Symmetry-distinct sites (fractional):
Sc (0.0006, 0.2500, 0.0722)
Sc (0.0753, 0.2500, 0.7780)
Sc (0.1051, 0.2500, 0.3515)
Sc (0.1517, 0.2500, 0.5508)
Tc (0.2470, 0.7500, 0.4394)
Pt (0.2374, 0.2500, 0.1963)

Calculated values
**Mass density**: 6.45 g/cm³
**Formation enthalpy at 0 K**: -0.576 eV per atom
**Electronic total energy**: -0.2768 hartree per atom
**Energy above the lowest structure with this stoichiometry**: 0.000 eV/f.u.

***

# 10
The following is a GGA-PBE calculation of crystalline Tb2NiIr3 at its relaxed geometry, from Alexandria.

Cell: 5.3850 5.3850 8.4157 Å, 90.00 90.00 120.00°
Space group P6_3/mmc (No. 194)
Symmetry-distinct sites (fractional):
Tb (0.3333, 0.6667, 0.0656)
Ni (0.0000, 0.0000, 0.0000)
Ir (0.1675, 0.3351, 0.7500)

Calculated values
**Mass density**: 14.98 g/cm³
**Formation enthalpy at 0 K**: -0.686 eV per atom
**Electronic total energy**: -0.2802 hartree per atom
**Energy above the lowest structure with this stoichiometry**: 0.324 eV/f.u.

***

# 11
The following is a GGA-PBE calculation of crystalline PmNd2Sm9 at its relaxed geometry, from Alexandria.

Cell: 11.5061 11.5061 3.5547 Å, 90.00 90.00 120.00°
Space group P6/mmm (No. 191)
Symmetry-distinct sites (fractional):
Pm (0.0000, 0.0000, 0.0000)
Nd (0.3333, 0.6667, 0.0000)
Sm (0.0000, 0.5000, 0.0000)
Sm (0.1735, 0.3469, 0.5000)

Calculated values
**Mass density**: 7.28 g/cm³
**Formation enthalpy at 0 K**: 0.045 eV per atom
**Electronic total energy**: -0.1721 hartree per atom
**Energy above the lowest structure with this stoichiometry**: 0.353 eV/f.u.

***

# 12
The following is a GGA-PBE calculation of crystalline TbSi4Os2 at its relaxed geometry, from Alexandria.

Cell: 16.2675 4.0791 6.6497 Å, 90.00 90.00 90.00°
Space group Pnma (No. 62)
Symmetry-distinct sites (fractional):
Tb (0.1418, 0.2500, 0.0707)
Si (0.0201, 0.7500, 0.1269)
Si (0.0521, 0.2500, 0.5163)
Si (0.1941, 0.7500, 0.3480)
Si (0.2010, 0.7500, 0.7804)
Os (0.0479, 0.7500, 0.7581)
Os (0.1991, 0.2500, 0.5577)

Calculated values
**Mass density**: 9.81 g/cm³
**Electronic total energy**: -0.2764 hartree per atom

***

> Among the records above, which one has the highest electronic total energy?

Mg2Tl2N